# PmGdP | the Alexandria database | PBE | optimized geometry
# excess energy over the best structure of this formula in the dataset = 211 meV/atom
# energy of formation = -219 kJ/mol of formula units
data_PmGdP
_cell_length_a 3.5651
_cell_length_b 3.5651
_cell_length_c 12.7029
_cell_angle_alpha 90.00
_cell_angle_beta 90.00
_cell_angle_gamma 90.00
_space_group_name_H-M_alt 'I 4 m m'
_space_group_IT_number 107
_space_group_name_Hall 'I 4 -2'
loop_
_atom_site_label
_atom_site_type_symbol
_atom_site_fract_x
_atom_site_fract_y
_atom_site_fract_z
Pm1 Pm 0.0000 0.0000 0.0000
Gd1 Gd 0.0000 0.0000 0.7465
P1 P 0.0000 0.0000 0.3701

***

# ErUTc2 | the Alexandria database | PBE | optimized geometry
# excess energy over the best structure of this formula in the dataset = 180 meV/atom
# energy of formation = -2 kJ/mol of formula units
data_ErUTc2
_cell_length_a 6.7636
_cell_length_b 6.7636
_cell_length_c 6.7636
_cell_angle_alpha 90.00
_cell_angle_beta 90.00
_cell_angle_gamma 90.00
_space_group_name_H-M_alt 'F m -3 m'
_space_group_IT_number 225
_space_group_name_Hall '-F 4 2 3'
loop_
_atom_site_label
_atom_site_type_symbol
_atom_site_fract_x
_atom_site_fract_y
_atom_site_fract_z
Er1 Er 0.0000 0.0000 0.0000
U1 U 0.0000 0.0000 0.5000
Tc1 Tc 0.2500 0.2500 0.2500

***

Among the records above, which one has the highest energy of formation?
ErUTc2